1.
This record from the Alexandria database describes LiAc2CeS5 after structural relaxation. The functional is PBE.

Uncorrected energy in eV/cell: -108.94
Size of the total moment in μB/f.u.: 0.9
Energy relative to the elements, uncorrected in eV/atom: -1.97
DOS(E_F) in states/eV per atom: 0.621
Crystal system: orthorhombic

```
LiAc2CeS5
1.0
2.092 -8.551 0.000
2.092 8.551 0.000
0.000 0.000 12.347
Li Ac Ce S
2 4 2 10
Direct
0.014 0.986 0.500 Li
0.986 0.014 0.000 Li
0.376 0.624 0.321 Ac
0.389 0.611 0.706 Ac
0.611 0.389 0.206 Ac
0.624 0.376 0.821 Ac
0.303 0.697 0.022 Ce
0.697 0.303 0.522 Ce
0.001 0.999 0.304 S
0.138 0.862 0.020 S
0.194 0.806 0.367 S
0.209 0.791 0.678 S
0.455 0.545 0.083 S
0.545 0.455 0.583 S
0.791 0.209 0.178 S
0.806 0.194 0.867 S
0.862 0.138 0.520 S
0.999 0.001 0.804 S
```

***

2.
This record from the Alexandria database describes HfNb6S8 after structural relaxation. The functional is PBE.

Uncorrected energy in eV/cell: -116.38
Size of the total moment in μB/f.u.: 0.0
Energy relative to the elements, uncorrected in eV/atom: -0.87
DOS(E_F) in states/eV per atom: 0.596
Crystal system: trigonal

```
HfNb6S8
1.0
4.582 2.646 3.853
-4.582 2.646 3.853
0.000 -5.291 3.853
Hf Nb S
1 6 8
Direct
0.000 0.000 0.000 Hf
0.199 0.412 0.551 Nb
0.412 0.551 0.199 Nb
0.449 0.801 0.588 Nb
0.551 0.199 0.412 Nb
0.588 0.449 0.801 Nb
0.801 0.588 0.449 Nb
0.134 0.766 0.375 S
0.221 0.221 0.221 S
0.234 0.625 0.866 S
0.375 0.134 0.766 S
0.625 0.866 0.234 S
0.766 0.375 0.134 S
0.779 0.779 0.779 S
0.866 0.234 0.625 S
```

***

3.
This record from the Alexandria database describes HfInPbI2 after structural relaxation. The functional is PBE.

Uncorrected energy in eV/cell: -15.70
Size of the total moment in μB/f.u.: 0.0
Energy relative to the elements, uncorrected in eV/atom: 0.76
DOS(E_F) in states/eV per atom: 1.091
Crystal system: tetragonal

```
HfInPbI2
1.0
5.852 0.000 0.000
0.000 5.852 0.000
0.000 0.000 5.811
Hf In Pb I
1 1 1 2
Direct
0.000 0.000 0.000 Hf
0.000 0.000 0.500 In
0.500 0.500 0.000 Pb
0.000 0.500 0.500 I
0.500 0.000 0.500 I
```

***

4.
This record from the Alexandria database describes Pu2FeHg after structural relaxation. The functional is PBE.

Uncorrected energy in eV/cell: -37.65
Excess energy over the best structure of this formula in the dataset in meV per atom: 0.0
Size of the total moment in μB/f.u.: 9.4
DOS(E_F) in states/eV per atom: 2.810
Energy of formation from the pure elements in eV/atom: -0.056
Crystal system: tetragonal

```
Pu2FeHg
1.0
3.211 0.000 0.000
0.000 3.211 0.000
0.000 0.000 8.437
Pu Fe Hg
2 1 1
Direct
0.000 0.000 0.206 Pu
0.000 0.000 0.794 Pu
0.500 0.500 0.000 Fe
0.500 0.500 0.500 Hg
```

***

5.
This record from the Alexandria database describes Ga2Tc2Ge after structural relaxation. The functional is PBE.

Uncorrected energy in eV/cell: -64.00
Excess energy over the best structure of this formula in the dataset in meV per atom: 0.0
Size of the total moment in μB/f.u.: 0.0
DOS(E_F) in states/eV per atom: 0.108
Energy of formation from the pure elements in eV/atom: -0.120
Crystal system: tetragonal

```
Ga2Tc2Ge
1.0
6.642 0.000 0.000
0.000 6.642 0.000
0.000 0.000 3.542
Ga Tc Ge
4 4 2
Direct
0.143 0.357 0.000 Ga
0.357 0.857 0.000 Ga
0.643 0.143 0.000 Ga
0.857 0.643 0.000 Ga
0.158 0.658 0.500 Tc
0.342 0.158 0.500 Tc
0.658 0.842 0.500 Tc
0.842 0.342 0.500 Tc
0.000 0.000 0.500 Ge
0.500 0.500 0.500 Ge
```

***

6.
This record from the Alexandria database describes Tl2SiMo after structural relaxation. The functional is PBE.

Uncorrected energy in eV/cell: -17.56
Excess energy over the best structure of this formula in the dataset in meV per atom: 566.9
Size of the total moment in μB/f.u.: 0.0
Energy relative to the elements, uncorrected in eV/atom: 0.86
DOS(E_F) in states/eV per atom: 0.625
Crystal system: orthorhombic

```
Tl2SiMo
1.0
1.715 -2.469 0.000
1.715 2.469 0.000
0.000 0.000 9.966
Tl Si Mo
2 1 1
Direct
0.000 0.000 0.240 Tl
0.000 0.000 0.760 Tl
0.500 0.500 0.500 Si
0.500 0.500 0.000 Mo
```

***

7.
This record from the Alexandria database describes La8CI4N3 after structural relaxation. The functional is PBE.

Uncorrected energy in eV/cell: -98.21
Size of the total moment in μB/f.u.: 0.0
Energy relative to the elements, uncorrected in eV/atom: -1.15
DOS(E_F) in states/eV per atom: 0.273
Crystal system: trigonal

```
La8CI4N3
1.0
3.893 2.248 7.891
-3.893 2.248 7.891
0.000 -4.496 7.891
La C I N
8 1 4 3
Direct
0.220 0.726 0.726 La
0.223 0.223 0.223 La
0.274 0.274 0.780 La
0.274 0.780 0.274 La
0.726 0.220 0.726 La
0.726 0.726 0.220 La
0.777 0.777 0.777 La
0.780 0.274 0.274 La
0.500 0.500 0.500 C
0.000 0.000 0.000 I
0.000 0.500 0.500 I
0.500 0.000 0.500 I
0.500 0.500 0.000 I
0.000 0.000 0.500 N
0.000 0.500 0.000 N
0.500 0.000 0.000 N
```

***

8.
This record from the Alexandria database describes BaTc2Rh after structural relaxation. The functional is PBE.

Uncorrected energy in eV/cell: -28.48
Excess energy over the best structure of this formula in the dataset in meV per atom: 0.0
Size of the total moment in μB/f.u.: 0.0
DOS(E_F) in states/eV per atom: 1.274
Energy of formation from the pure elements in eV/atom: 0.382
Crystal system: trigonal

```
BaTc2Rh
1.0
2.114 1.220 6.182
-2.114 1.220 6.182
0.000 -2.441 6.182
Ba Tc Rh
1 2 1
Direct
0.000 0.000 0.000 Ba
0.486 0.486 0.486 Tc
0.809 0.809 0.809 Tc
0.211 0.211 0.211 Rh
```

***

9.
This record from the Alexandria database describes Li2PuUSe4 after structural relaxation. The functional is PBE.

Uncorrected energy in eV/cell: -53.83
Size of the total moment in μB/f.u.: 8.0
Energy relative to the elements, uncorrected in eV/atom: -1.31
DOS(E_F) in states/eV per atom: 1.912
Crystal system: monoclinic

```
Li2PuUSe4
1.0
6.908 0.000 0.000
0.000 4.089 0.000
-2.431 0.000 6.675
Li Pu U Se
2 1 1 4
Direct
0.000 0.000 0.000 Li
0.000 0.500 0.500 Li
0.500 0.000 0.500 Pu
0.500 0.500 0.000 U
0.242 0.000 0.751 Se
0.244 0.500 0.243 Se
0.756 0.500 0.757 Se
0.758 0.000 0.249 Se
```

***

10.
This record from the Alexandria database describes HfTi3Te after structural relaxation. The functional is PBE.

Uncorrected energy in eV/cell: -31.68
Excess energy over the best structure of this formula in the dataset in meV per atom: 1128.8
Size of the total moment in μB/f.u.: 2.1
Energy relative to the elements, uncorrected in eV/atom: 1.02
DOS(E_F) in states/eV per atom: 1.317
Crystal system: cubic

```
HfTi3Te
1.0
4.908 0.000 0.000
0.000 4.908 0.000
0.000 0.000 4.908
Hf Ti Te
1 3 1
Direct
0.000 0.000 0.000 Hf
0.000 0.000 0.500 Ti
0.000 0.500 0.000 Ti
0.500 0.000 0.000 Ti
0.500 0.500 0.500 Te
```

***

11.
This record from the Alexandria database describes SrAsS3 after structural relaxation. The functional is PBE.

Uncorrected energy in eV/cell: -46.08
Size of the total moment in μB/f.u.: 0.0
Energy relative to the elements, uncorrected in eV/atom: -0.87
DOS(E_F) in states/eV per atom: 0.000
Crystal system: triclinic

```
SrAsS3
1.0
5.549 0.000 0.000
2.433 6.649 0.000
0.527 1.645 7.923
Sr As S
2 2 6
Direct
0.000 0.000 0.000 Sr
0.249 0.325 0.337 Sr
0.005 0.799 0.466 As
0.117 0.478 0.859 As
0.249 0.740 0.722 S
0.341 0.725 0.296 S
0.415 0.209 0.004 S
0.833 0.138 0.368 S
0.847 0.604 0.047 S
0.967 0.350 0.684 S
```

***

12.
This record from the Alexandria database describes MgTaOs3 after structural relaxation. The functional is PBE.

Uncorrected energy in eV/cell: -38.34
Excess energy over the best structure of this formula in the dataset in meV per atom: 0.0
Size of the total moment in μB/f.u.: 0.0
DOS(E_F) in states/eV per atom: 0.499
Energy of formation from the pure elements in eV/atom: 1.760
Crystal system: cubic

```
MgTaOs3
1.0
4.387 0.000 0.000
0.000 4.387 0.000
0.000 0.000 4.387
Mg Ta Os
1 1 3
Direct
0.000 0.000 0.000 Mg
0.500 0.500 0.500 Ta
0.000 0.000 0.500 Os
0.000 0.500 0.000 Os
0.500 0.000 0.000 Os
```